1.
CuSbH2 after structural relaxation, computed with GGA-PBE.

Values from the calculation:
**Energy relative to the lowest polymorph listed for this composition**: 395 meV per atom
**Calculated volume**: 11.27 Å³/atom

Lattice parameters (Å, degrees): 5.6490 5.6490 5.6490 90.00 90.00 90.00
Closest atoms and distances in Å follow each position.
Space group Fm-3m (No. 225)
Asymmetric unit:
Cu: 0.0000 0.0000 0.0000  8 H 2.45
Sb: 0.0000 0.0000 0.5000  8 H 2.45
H: 0.2500 0.2500 0.2500  4 Sb 2.45, 4 Cu 2.45


2.
La2Ga3Ni4Rh after structural relaxation, computed with GGA-PBE.

Values from the calculation:
**Calculated volume**: 17.42 Å³/atom
**Formation energy**: -506 meV per atom

Lattice parameters (Å, degrees): 4.0901 4.0901 10.4125 90.00 90.00 90.00
Closest atoms and distances in Å follow each position.
Space group P-4m2 (No. 115)
Asymmetric unit:
La: 0.0000 0.5000 0.2463  8 Ni 3.08-3.34, 6 Ga 3.20-3.28, 2 Rh 3.28
Ga: 0.0000 0.0000 0.0000  4 Ni 2.53
Ga: 0.0000 0.5000 0.6213  5 Ni 2.40-2.45
Ni: 0.0000 0.0000 0.5000  4 Ga 2.40
Ni: 0.0000 0.5000 0.8564  3 Ga 2.45-2.53, 2 Rh 2.53
Ni: 0.5000 0.5000 0.5000  4 Ga 2.40
Rh: 0.5000 0.5000 0.0000  4 Ni 2.53


3.
SrCa2Bi2 after structural relaxation, computed with GGA-PBE.

Values from the calculation:
**Energy relative to the lowest polymorph listed for this composition**: 0 meV per atom
**Calculated volume**: 38.79 Å³/atom
**Formation energy**: -881 meV per atom

Lattice parameters (Å, degrees): 5.2571 5.2571 8.1042 90.00 90.00 120.00
Closest atoms and distances in Å follow each position.
Space group P-3m1 (No. 164)
Asymmetric unit:
Sr: 0.0000 0.0000 0.0000  6 Bi 3.58
Ca: 0.3333 0.6667 0.3538  4 Bi 3.19-3.34
Bi: 0.3333 0.6667 0.7658  4 Ca 3.19-3.34


Which value of calculated volume does entry 2 give? 17.42 Å³/atom


Which value of calculated volume does entry 3 give? 38.79 Å³/atom


The lowest calculated volume belongs to which entry? CuSbH2


Please write out number 3 again, unchanged.
SrCa2Bi2 after structural relaxation, computed with GGA-PBE.

Values from the calculation:
**Energy relative to the lowest polymorph listed for this composition**: 0 meV per atom
**Calculated volume**: 38.79 Å³/atom
**Formation energy**: -881 meV per atom

Lattice parameters (Å, degrees): 5.2571 5.2571 8.1042 90.00 90.00 120.00
Closest atoms and distances in Å follow each position.
Space group P-3m1 (No. 164)
Asymmetric unit:
Sr: 0.0000 0.0000 0.0000  6 Bi 3.58
Ca: 0.3333 0.6667 0.3538  4 Bi 3.19-3.34
Bi: 0.3333 0.6667 0.7658  4 Ca 3.19-3.34